[1]
## NaNiSbS3 (PBE-GGA)

Data for an optimized crystal structure of NaNiSbS3.

Calculated total energy = -0.326 Ry/atom
M_tot = 1.10 μB/f.u.
Fermi-level density of states = 1.5 states/eV/f.u.
Crystal system = monoclinic
ΔE_f (raw) = -494.6 meV per atom

```
NaNiSbS3
1.0
8.405 0.000 0.000
0.000 3.854 0.000
-0.525 0.000 8.637
Na Ni Sb S
2 2 2 6
Cartesian
1.043 0.963 1.663
6.838 2.890 6.974
0.368 0.963 4.944
7.513 2.890 3.693
2.635 2.890 7.243
5.245 0.963 1.395
0.781 0.963 7.213
1.235 2.890 4.215
3.122 2.890 1.074
4.758 0.963 7.563
6.645 0.963 4.422
7.099 2.890 1.424
```

***

[2]
## TbYEr (PBE-GGA)

Data for an optimized crystal structure of TbYEr.

Calculated total energy = -0.382 Ry/atom
M_tot = 0.00 μB/f.u.
Energy relative to the elements = 0.066 eV/f.u.
Fermi-level density of states = 4.1 states/eV/f.u.
Crystal system = orthorhombic
Energy relative to the lowest polymorph listed for this composition = 0 meV/atom

```
TbYEr
1.0
2.508 -7.523 0.000
2.508 7.523 0.000
0.000 0.000 5.015
Tb Y Er
2 2 2
Cartesian
2.508 6.257 3.761
2.508 -6.257 1.254
2.508 1.268 3.761
2.508 -1.268 1.254
2.508 3.763 1.254
2.508 -3.763 3.761
```

***

[3]
## K2PtW (PBE-GGA)

Data for an optimized crystal structure of K2PtW.

Calculated total energy = -0.351 Ry/atom
M_tot = 0.00 μB/f.u.
Energy relative to the elements = 2.097 eV/f.u.
Fermi-level density of states = 4.2 states/eV/f.u.
Crystal system = monoclinic
Energy relative to the lowest polymorph listed for this composition = 0 meV/atom

```
K2PtW
1.0
2.841 0.000 0.000
0.000 4.213 0.000
-0.068 0.000 10.255
K Pt W
2 1 1
Cartesian
0.000 0.000 0.000
1.345 2.106 4.326
1.358 2.106 7.750
2.778 0.000 6.975
```

***

[4]
## Cu15Si4 (PBE-GGA)

Data for an optimized crystal structure of Cu15Si4.

Calculated total energy = -0.327 Ry/atom
M_tot = 0.00 μB/f.u.
Fermi-level density of states = 5.3 states/eV/f.u.
Crystal system = cubic
ΔE_f (raw) = -77.5 meV per atom

```
Cu15Si4
1.0
-4.865 4.865 4.865
4.865 -4.865 4.865
4.865 4.865 -4.865
Cu Si
30 8
Cartesian
7.679 -0.856 1.332
1.576 -0.382 1.100
1.100 1.576 -0.382
7.297 1.216 0.000
5.721 -1.332 2.814
3.765 1.576 0.382
4.483 3.765 -1.576
3.649 0.000 2.432
-0.382 1.100 1.576
3.765 -1.576 4.483
5.721 1.332 2.051
2.432 3.649 0.000
5.965 3.289 0.382
1.576 0.382 3.765
2.814 5.721 -1.332
0.382 3.765 1.576
4.008 3.533 2.051
3.533 2.051 4.008
0.000 2.432 3.649
3.289 0.382 5.965
1.332 7.679 -0.856
2.051 5.721 1.332
1.216 0.000 7.297
2.051 4.008 3.533
1.332 2.051 5.721
-1.576 4.483 3.765
0.000 7.297 1.216
-1.332 2.814 5.721
-0.856 1.332 7.679
0.382 5.965 3.289
2.859 2.006 -2.006
5.292 -0.427 0.427
2.006 -2.006 2.859
2.006 2.006 2.006
-2.006 2.859 2.006
0.427 5.292 -0.427
-0.427 0.427 5.292
4.438 4.438 4.438
```

***

[5]
## Ba3PmPd2O6 (PBE-GGA)

Data for an optimized crystal structure of Ba3PmPd2O6.

Calculated total energy = -0.440 Ry/atom
M_tot = 0.00 μB/f.u.
Fermi-level density of states = 7.1 states/eV/f.u.
Crystal system = trigonal
ΔE_f (raw) = -1765.7 meV per atom

```
Ba3PmPd2O6
1.0
6.207 0.000 0.000
-3.104 5.375 0.000
0.000 0.000 6.918
Ba Pm Pd O
3 1 2 6
Cartesian
0.000 0.000 0.000
0.000 3.584 4.406
3.104 1.792 2.512
0.000 0.000 3.459
0.000 3.584 0.971
3.104 1.792 5.947
0.000 1.824 2.098
-1.524 4.464 2.098
1.579 0.912 4.820
1.524 4.464 2.098
4.628 0.912 4.820
3.104 3.552 4.820
```

***

[6]
## OsAu2Br (PBE-GGA)

Data for an optimized crystal structure of OsAu2Br.

Calculated total energy = -0.281 Ry/atom
M_tot = 0.92 μB/f.u.
Fermi-level density of states = 4.3 states/eV/f.u.
Crystal system = tetragonal
Energy relative to the lowest polymorph listed for this composition = 418 meV/atom
ΔE_f (raw) = 1041.7 meV per atom

```
OsAu2Br
1.0
5.383 0.000 0.000
0.000 5.383 0.000
0.000 0.000 2.657
Os Au Br
1 2 1
Cartesian
0.000 0.000 0.000
0.000 2.691 1.329
2.691 0.000 1.329
2.691 2.691 0.000
```

***

[7]
## Hf2MnAg (PBE-GGA)

Data for an optimized crystal structure of Hf2MnAg.

Calculated total energy = -0.596 Ry/atom
M_tot = 0.00 μB/f.u.
Energy relative to the elements = -0.484 eV/f.u.
Fermi-level density of states = 2.8 states/eV/f.u.
Crystal system = tetragonal
Energy relative to the lowest polymorph listed for this composition = 0 meV/atom

```
Hf2MnAg
1.0
3.123 0.000 0.000
0.000 3.123 0.000
0.000 0.000 7.359
Hf Mn Ag
2 1 1
Cartesian
0.000 0.000 1.548
0.000 0.000 5.810
1.561 1.561 0.000
1.561 1.561 3.679
```

***

[8]
## TlPb3F (PBE-GGA)

Data for an optimized crystal structure of TlPb3F.

Calculated total energy = -0.260 Ry/atom
M_tot = 0.00 μB/f.u.
Fermi-level density of states = 1.9 states/eV/f.u.
Crystal system = cubic
Energy relative to the lowest polymorph listed for this composition = 0 meV/atom
ΔE_f (raw) = -466.2 meV per atom

```
TlPb3F
1.0
5.233 0.000 0.000
0.000 5.233 0.000
0.000 0.000 5.233
Tl Pb F
1 3 1
Cartesian
0.000 0.000 0.000
0.000 2.617 2.617
2.617 0.000 2.617
2.617 2.617 0.000
2.617 2.617 2.617
```

***

[9]
## Ta2V5Ga (PBE-GGA)

Data for an optimized crystal structure of Ta2V5Ga.

Calculated total energy = -0.666 Ry/atom
M_tot = 0.00 μB/f.u.
Energy relative to the elements = -0.141 eV/f.u.
Fermi-level density of states = 12.3 states/eV/f.u.
Crystal system = tetragonal

```
Ta2V5Ga
1.0
-2.207 2.207 6.130
2.207 -2.207 6.130
2.207 2.207 -6.130
Ta V Ga
2 5 1
Cartesian
0.000 0.000 3.030
0.000 0.000 9.229
0.000 0.000 0.000
2.207 0.000 1.491
2.207 0.000 4.639
0.000 2.207 1.491
0.000 2.207 4.639
0.000 0.000 6.130
```

***

[10]
## Ca2CuAg (PBE-GGA)

Data for an optimized crystal structure of Ca2CuAg.

Calculated total energy = -0.218 Ry/atom
M_tot = 0.00 μB/f.u.
Energy relative to the elements = -0.903 eV/f.u.
Fermi-level density of states = 1.8 states/eV/f.u.
Crystal system = orthorhombic

```
Ca2CuAg
1.0
4.394 0.000 0.000
0.000 2.117 5.556
0.000 -2.117 5.556
Ca Cu Ag
2 1 1
Cartesian
0.000 0.000 0.000
2.197 0.000 3.158
2.197 0.000 6.347
0.000 0.000 7.882
```

***

[11]
## BaAsIr2 (PBE-GGA)

Data for an optimized crystal structure of BaAsIr2.

Calculated total energy = -0.468 Ry/atom
M_tot = 0.00 μB/f.u.
Energy relative to the elements = -1.189 eV/f.u.
Fermi-level density of states = 6.1 states/eV/f.u.
Crystal system = monoclinic

```
BaAsIr2
1.0
3.801 -2.181 0.000
3.801 2.181 0.000
-2.528 0.000 5.748
Ba As Ir
1 1 2
Cartesian
0.000 0.000 0.000
5.076 0.000 2.300
0.014 0.000 3.389
2.536 0.000 3.274
```

***

[12]
## InRe2Au (PBE-GGA)

Data for an optimized crystal structure of InRe2Au.

Calculated total energy = -0.516 Ry/atom
M_tot = 0.00 μB/f.u.
Energy relative to the elements = 2.845 eV/f.u.
Fermi-level density of states = 4.2 states/eV/f.u.
Crystal system = orthorhombic

```
InRe2Au
1.0
2.709 -4.311 0.000
2.709 4.311 0.000
0.000 0.000 2.901
In Re Au
1 2 1
Cartesian
0.000 0.000 0.000
1.354 2.155 1.451
1.354 -2.155 1.451
2.709 0.000 0.000
```